DFT (PBE) results for an optimized crystal structure of Sr2Cd4Hg9.

Computed properties:
volume = 408.95 Å³/cell
raw total energy = -12.8 eV for the cell shown

abc: 5.1209 5.1209 18.0067
angles: 90.00 90.00 120.00
Closest atoms and distances in Å follow each position.
Space group P-3m1 (No. 164)
Symmetry-distinct sites (fractional):
Sr 0.3333 0.6667 0.2610 (multiplicity 2)  8 Hg 3.36-3.56, 3 Cd 3.66
Cd 0.3333 0.6667 0.6192 (multiplicity 2)  7 Hg 2.98-3.24
Cd 0.3333 0.6667 0.8752 (multiplicity 2)  7 Hg 3.08-3.38
Hg 0.0000 0.0000 0.0000 (multiplicity 1)  8 Hg 3.11-3.17
Hg 0.0000 0.0000 0.1729 (multiplicity 2)  3 Cd 3.08, 2 Hg 3.11-3.33, 3 Sr 3.36
Hg 0.0000 0.0000 0.3579 (multiplicity 2)  3 Cd 2.99, 1 Hg 3.33
Hg 0.3333 0.6667 0.0630 (multiplicity 2)  4 Cd 3.16-3.38, 3 Hg 3.17
Hg 0.3333 0.6667 0.4539 (multiplicity 2)  4 Cd 2.98-3.24